No. 1
Density functional theory data (PBE-GGA) for a relaxed K2TlSb crystal.

Cell lengths 6.5311, 6.5311, 3.4736 Å; angles 90.00, 90.00, 109.77 degrees
Element x y z (fractional)
1 K 0.0000 0.5000 0.0000
2 K 0.5000 0.0000 0.0000
3 Tl 0.0000 0.0000 0.5000
4 Sb 0.5000 0.5000 0.5000

No. 2
Density functional theory data (PBE-GGA) for a relaxed K2TlSb crystal.

Cell lengths 6.7439, 6.7439, 6.7439 Å; angles 139.79, 128.72, 67.09 degrees
Element x y z (fractional)
1 K 0.0000 0.0000 0.0000
2 K 0.6992 0.1992 0.5000
3 Tl 0.4323 0.4323 0.0000
4 Sb 0.2575 0.7575 0.5000

No. 3
Density functional theory data (PBE-GGA) for a relaxed KTl3Sb3 crystal.

Cell lengths 14.0166, 14.0166, 14.0166 Å; angles 26.92, 26.92, 26.92 degrees
Element x y z (fractional)
1 K 0.1670 0.1670 0.1670
2 K 0.8330 0.8330 0.8330
3 Tl 0.0115 0.6267 0.2477
4 Tl 0.2477 0.0115 0.6267
5 Tl 0.3733 0.7523 0.9885
6 Tl 0.6267 0.2477 0.0115
7 Tl 0.7523 0.9885 0.3733
8 Tl 0.9885 0.3733 0.7523
9 Sb 0.1696 0.6969 0.4307
10 Sb 0.3031 0.5693 0.8304
11 Sb 0.4307 0.1696 0.6969
12 Sb 0.5693 0.8304 0.3031
13 Sb 0.6969 0.4307 0.1696
14 Sb 0.8304 0.3031 0.5693

No. 4
Density functional theory data (PBE-GGA) for a relaxed K2TlSb crystal.

Cell lengths 3.4714, 5.3797, 7.5141 Å; angles 90.00, 90.25, 90.00 degrees
Element x y z (fractional)
1 K 0.0020 0.0000 0.2288
2 K 0.9980 0.0000 0.7712
3 Tl 0.5000 0.5000 0.5000
4 Sb 0.5000 0.5000 0.0000

No. 5
Density functional theory data (PBE-GGA) for a relaxed KTl3Sb2 crystal.

Cell lengths 9.9056, 9.9056, 9.5840 Å; angles 118.82, 118.82, 30.83 degrees
Element x y z (fractional)
1 K 0.1344 0.1344 0.1347
2 K 0.8656 0.8656 0.8653
3 Tl 0.0006 0.0006 0.6636
4 Tl 0.3226 0.3226 0.1160
5 Tl 0.3229 0.3229 0.5291
6 Tl 0.6771 0.6771 0.4709
7 Tl 0.6774 0.6774 0.8840
8 Tl 0.9994 0.9994 0.3364
9 Sb 0.2014 0.2014 0.7015
10 Sb 0.5000 0.5000 0.1505
11 Sb 0.5000 0.5000 0.8495
12 Sb 0.7986 0.7986 0.2985

No. 6
Density functional theory data (PBE-GGA) for a relaxed KTl2SbW crystal.

Cell lengths 5.4585, 5.4585, 6.2041 Å; angles 90.00, 90.00, 90.00 degrees
Element x y z (fractional)
1 K 0.0000 0.0000 0.0000
2 Tl 0.0000 0.5000 0.5000
3 Tl 0.5000 0.0000 0.5000
4 Sb 0.5000 0.5000 0.0000
5 W 0.0000 0.0000 0.5000

No. 7
Density functional theory data (PBE-GGA) for a relaxed K2TlZn3Sb4 crystal.

Cell lengths 5.1008, 5.1008, 11.0763 Å; angles 90.00, 90.00, 90.00 degrees
Element x y z (fractional)
1 K 0.0000 0.5000 0.2440
2 K 0.5000 0.0000 0.7560
3 Tl 0.0000 0.0000 0.5000
4 Zn 0.0000 0.5000 0.8838
5 Zn 0.5000 0.0000 0.1162
6 Zn 0.5000 0.5000 0.5000
7 Sb 0.0000 0.0000 0.0000
8 Sb 0.0000 0.5000 0.6380
9 Sb 0.5000 0.0000 0.3620
10 Sb 0.5000 0.5000 0.0000

No. 8
Density functional theory data (PBE-GGA) for a relaxed KUSb2 crystal.

Cell lengths 8.6413, 8.6413, 8.6413 Å; angles 30.41, 30.41, 30.41 degrees
Element x y z (fractional)
1 K 0.0000 0.0000 0.0000
2 U 0.8300 0.8300 0.8300
3 Sb 0.2273 0.2273 0.2273
4 Sb 0.4334 0.4334 0.4334

no.,formation energy from raw total energies (eV/atom),total energy (eV/atom)
1,-0.15,-2.32
2,-0.31,-2.48
3,-0.06,-3.00
4,-0.17,-2.34
5,-0.14,-2.88
6,1.16,-3.42
7,-0.18,-2.67
8,-0.20,-5.36